<1>
An optimized crystal structure of ZrP2Cl. Source: the Alexandria database, functional GGA-PBE.

a b c (Å): 4.687 4.687 4.687
angles (deg): 60.00 60.00 60.00
Atoms (fractional coordinates):
1 P 0.250 0.250 0.250
2 P 0.750 0.750 0.750
3 Zr 0.500 0.500 0.500
4 Cl 0.000 0.000 0.000

Results
Space-group type: Fm-3m (225)
DOS at the Fermi energy in states/eV per cell: 10.2

<2>
An optimized crystal structure of ZrP2Cl. Source: the Alexandria database, functional GGA-PBE.

a b c (Å): 5.047 5.047 5.047
angles (deg): 131.83 131.83 70.50
Atoms (fractional coordinates):
1 Cl 0.750 0.250 0.500
2 P 0.000 0.000 0.000
3 P 0.250 0.750 0.500
4 Zr 0.500 0.500 0.000

Results
Space-group type: I-4m2 (119)
DOS at the Fermi energy in states/eV per cell: 2.4

<3>
An optimized crystal structure of ZrP2Cl. Source: the Alexandria database, functional GGA-PBE.

a b c (Å): 5.042 5.042 3.521
angles (deg): 89.95 89.95 123.05
Atoms (fractional coordinates):
1 Cl 0.000 0.500 0.500
2 P 0.000 0.000 0.000
3 P 0.500 0.500 0.000
4 Zr 0.500 0.000 0.500

Results
Space-group type: C2/m (12)
DOS at the Fermi energy in states/eV per cell: 1.6

<4>
An optimized crystal structure of ZrP2Cl. Source: the Alexandria database, functional GGA-PBE.

a b c (Å): 3.256 3.256 7.878
angles (deg): 90.00 90.00 90.00
Atoms (fractional coordinates):
1 Cl 0.500 0.500 0.663
2 P 0.000 0.000 0.135
3 P 0.500 0.500 0.244
4 Zr 0.000 0.000 0.458

Results
Space-group type: P4mm (99)
DOS at the Fermi energy in states/eV per cell: 2.6

<4> ends up most stable, edging out the next structure by 439 meV/atom.